Entry from the Alexandria database: KTe2As after structural relaxation (PBE).

Unit cell a=4.287 b=4.287 c=24.885 alpha=90.00 beta=90.00 gamma=120.00
Sites, in units of the cell vectors:
K: 0.000 0.000 0.000
K: 0.333 0.667 0.667
K: 0.667 0.333 0.333
Te: 0.000 0.000 0.564
Te: 0.000 0.000 0.770
Te: 0.333 0.667 0.231
Te: 0.333 0.667 0.436
Te: 0.667 0.333 0.103
Te: 0.667 0.333 0.897
As: 0.000 0.000 0.167
As: 0.333 0.667 0.833
As: 0.667 0.333 0.500

Summary:
M_tot: 0.00 μB/f.u.
VASP energy: -41.0 eV/cell